# 1
A relaxed Tc3Au crystal. Source: Alexandria via LeMat-Bulk, functional PBE.

Unit cell a=4.449 b=5.574 c=4.875 alpha=90.00 beta=90.00 gamma=90.00
Space group Pmmn (No. 59, origin choice 2)
Symmetry-distinct sites (fractional):
Tc  0.250  0.003  0.163 x4
Tc  0.250  0.750  0.683 x2
Au  0.250  0.250  0.661 x2

Values from the calculation:
E_form in meV/atom: 143
M_tot in μB per cell: 0.0
DOS(E_F) in states/eV/atom: 0.755



# 2
A relaxed Tc4Au5 crystal. Source: Alexandria via LeMat-Bulk, functional PBE.

Unit cell a=8.590 b=8.590 c=4.051 alpha=90.00 beta=90.00 gamma=90.00
Space group I4/mmm (No. 139)
Symmetry-distinct sites (fractional):
Tc  0.000  0.358  0.000 x8
Au  0.000  0.000  0.000 x2
Au  0.170  0.170  0.500 x8

Values from the calculation:
E_form in meV/atom: 232
M_tot in μB per cell: 0.0
DOS(E_F) in states/eV/atom: 0.955



# 3
A relaxed Tc5Au3 crystal. Source: Alexandria via LeMat-Bulk, functional PBE.

Unit cell a=8.1443 b=8.1443 c=4.6435 alpha=90.00 beta=90.00 gamma=120.00
Space group P6_3/mcm (No. 193)
Symmetry-distinct sites (fractional):
Tc  0.0000  0.1841  0.2500 x6
Tc  0.3333  0.6667  0.0000 x4
Au  0.0000  0.3896  0.7500 x6

Values from the calculation:
E_form in meV/atom: 512
M_tot in μB per cell: 0.0
DOS(E_F) in states/eV/atom: 1.115
Energy above the most stable polymorph in this dataset in meV per atom: 151.3



# 4
A relaxed Tc3Au crystal. Source: Alexandria via LeMat-Bulk, functional PBE.

Unit cell a=2.7733 b=2.7733 c=27.7721 alpha=90.00 beta=90.00 gamma=120.00
Space group R-3m (No. 166, hexagonal axes)
Symmetry-distinct sites (fractional):
Tc  0.0000  0.0000  0.0000 x3
Tc  0.0000  0.0000  0.2549 x6
Au  0.0000  0.0000  0.5000 x3

Values from the calculation:
E_form in meV/atom: 184
M_tot in μB per cell: 0.0
DOS(E_F) in states/eV/atom: 1.093



# 5
A relaxed Tc3Au5 crystal. Source: Alexandria via LeMat-Bulk, functional PBE.

Unit cell a=13.710 b=8.078 c=5.083 alpha=90.00 beta=90.00 gamma=90.00
Space group Cmcm (No. 63)
Symmetry-distinct sites (fractional):
Tc  0.000  0.078  0.250 x4
Tc  0.210  0.287  0.750 x8
Au  0.000  0.280  0.750 x4
Au  0.109  0.391  0.250 x8
Au  0.169  0.000  0.000 x8

Values from the calculation:
E_form in meV/atom: 599
M_tot in μB per cell: 0.0
DOS(E_F) in states/eV/atom: 0.945
Energy above the most stable polymorph in this dataset in meV per atom: 196.1



# 6
A relaxed TcAu5 crystal. Source: Alexandria via LeMat-Bulk, functional PBE.

Unit cell a=4.841 b=2.825 c=15.331 alpha=90.00 beta=90.00 gamma=90.00
Space group Amm2 (No. 38)
Symmetry-distinct sites (fractional):
Tc  0.000  0.000  0.000 x2
Au  0.000  0.000  0.336 x2
Au  0.000  0.000  0.661 x2
Au  0.500  0.000  0.224 x2
Au  0.500  0.000  0.553 x2
Au  0.500  0.000  0.891 x2

Values from the calculation:
E_form in meV/atom: 239
M_tot in μB per cell: 1.4
DOS(E_F) in states/eV/atom: 0.710
Energy above the most stable polymorph in this dataset in meV per atom: 5.3



# 7
A relaxed Tc3Au crystal. Source: Alexandria via LeMat-Bulk, functional PBE.

Unit cell a=2.844 b=8.921 c=4.788 alpha=90.00 beta=90.00 gamma=90.00
Space group Imm2 (No. 44)
Symmetry-distinct sites (fractional):
Tc  0.000  0.000  0.000 x2
Tc  0.000  0.255  0.342 x4
Au  0.000  0.500  0.997 x2

Values from the calculation:
E_form in meV/atom: 242
M_tot in μB per cell: 0.0
DOS(E_F) in states/eV/atom: 1.054



# 8
A relaxed Tc3Au crystal. Source: Alexandria via LeMat-Bulk, functional PBE.

Unit cell a=4.807 b=9.067 c=5.588 alpha=90.00 beta=90.00 gamma=90.00
Space group Pnma (No. 62)
Symmetry-distinct sites (fractional):
Tc  0.087  0.250  0.129 x4
Tc  0.249  0.510  0.863 x8
Au  0.085  0.250  0.624 x4

Values from the calculation:
E_form in meV/atom: 218
M_tot in μB per cell: 0.0
DOS(E_F) in states/eV/atom: 0.915